1.
# Rb2PaTe4Au

A relaxed Rb2PaTe4Au crystal (GGA-PBE, Alexandria via LeMat-Bulk).

Cell and atoms, written as CIF:
```
data_Rb2PaTe4Au
_space_group_name_H-M_alt 'F d d d'
_space_group_IT_number 70
_cell_length_a 6.679
_cell_length_b 15.625
_cell_length_c 27.268
_cell_angle_alpha 90.00
_cell_angle_beta 90.00
_cell_angle_gamma 90.00
loop_
_space_group_symop_operation_xyz
'x,y,z'
'-x,-y,-z'
'-x+1/4,-y+1/4,z'
'x+1/4,y+1/4,-z'
'x,-y+1/4,-z+1/4'
'-x,y+1/4,z+1/4'
'-x+1/4,y,-z+1/4'
'x+1/4,-y,z+1/4'
'x,y+1/2,z+1/2'
'-x,-y+1/2,-z+1/2'
'-x+1/4,-y+3/4,z+1/2'
'x+1/4,y+3/4,-z+1/2'
'x,-y+3/4,-z+3/4'
'-x,y+3/4,z+3/4'
'-x+1/4,y+1/2,-z+3/4'
'x+1/4,-y+1/2,z+3/4'
'x+1/2,y,z+1/2'
'-x+1/2,-y,-z+1/2'
'-x+3/4,-y+1/4,z+1/2'
'x+3/4,y+1/4,-z+1/2'
'x+1/2,-y+1/4,-z+3/4'
'-x+1/2,y+1/4,z+3/4'
'-x+3/4,y,-z+3/4'
'x+3/4,-y,z+3/4'
'x+1/2,y+1/2,z'
'-x+1/2,-y+1/2,-z'
'-x+3/4,-y+3/4,z'
'x+3/4,y+3/4,-z'
'x+1/2,-y+3/4,-z+1/4'
'-x+1/2,y+3/4,z+1/4'
'-x+3/4,y+1/2,-z+1/4'
'x+3/4,-y+1/2,z+1/4'
loop_
_atom_site_label
_atom_site_fract_x
_atom_site_fract_y
_atom_site_fract_z
Rb1 0.125 0.125 0.308
Pa1 0.125 0.125 0.125
Te1 0.117 0.265 0.818
Au1 0.125 0.125 0.625
```

## Properties
E_form (uncorrected)	-0.699	eV per atom
ρ	5.178	g/cm³
magnetization	0.000	μB per atom

---

2.
# NiSbP2

A relaxed NiSbP2 crystal (GGA-PBE, Alexandria via LeMat-Bulk).

Cell and atoms, written as CIF:
```
data_NiSbP2
_space_group_name_H-M_alt 'P m m m'
_space_group_IT_number 47
_cell_length_a 3.242
_cell_length_b 4.055
_cell_length_c 5.071
_cell_angle_alpha 90.00
_cell_angle_beta 90.00
_cell_angle_gamma 90.00
loop_
_space_group_symop_operation_xyz
'x,y,z'
'-x,-y,-z'
'-x,-y,z'
'x,y,-z'
'x,-y,-z'
'-x,y,z'
'-x,y,-z'
'x,-y,z'
loop_
_atom_site_label
_atom_site_fract_x
_atom_site_fract_y
_atom_site_fract_z
Ni1 0.000 0.000 0.000
Sb1 0.500 0.500 0.000
P1 0.000 0.500 0.500
P2 0.500 0.000 0.500
```

## Properties
E_form (uncorrected)	0.538	eV per atom
ρ	6.039	g/cm³
magnetization	0.000	μB per atom

---

What is the formula in the first record? Rb2PaTe4Au

---

Among the records above, which one has the highest E_form (uncorrected)? NiSbP2

---

Which value of ρ does entry 2 give? 6.039 g/cm³